Run i
The following is a GGA-PBEsol calculation of a relaxed NaNi2O4 crystal, from Alexandria.

* theoretical density: 4.46 g/cm³

abc: 5.640 4.873 12.410
angles: 90.00 116.80 90.00
Space group P2/c (No. 13)
Asymmetric unit:
Na  0.000  0.028  0.250
Na  0.500  0.355  0.750
Ni  0.000  0.500  0.000
Ni  0.253  0.003  0.003
Ni  0.500  0.500  0.000
O  0.090  0.165  0.590
O  0.167  0.327  0.416
O  0.335  0.338  0.087
O  0.407  0.167  0.910


Run ii
The following is a GGA-PBEsol calculation of a relaxed NaNi2O4 crystal, from Alexandria.

* theoretical density: 5.39 g/cm³

abc: 8.560 2.827 10.412
angles: 90.00 90.00 90.00
Space group Pnma (No. 62)
Asymmetric unit:
Na  0.240  0.250  0.164
Ni  0.063  0.250  0.387
Ni  0.086  0.250  0.903
O  0.032  0.750  0.791
O  0.075  0.250  0.575
O  0.116  0.750  0.021
O  0.200  0.750  0.345


Most stable to least stable, the ends of the list are run i and run ii.


Run i
The following is a GGA-PBEsol calculation of a relaxed NaSr3Ni crystal, from Alexandria.

* theoretical density: 2.96 g/cm³

abc: 15.298 4.120 12.345
angles: 90.00 95.48 90.00
Space group C2/m (No. 12)
Asymmetric unit:
Na  0.052  0.000  0.385
Sr  0.100  0.000  0.885
Sr  0.151  0.500  0.157
Sr  0.182  0.500  0.620
Ni  0.243  0.500  0.955


Run ii
The following is a GGA-PBEsol calculation of a relaxed NaSr3Ni crystal, from Alexandria.

* theoretical density: 2.92 g/cm³

abc: 5.811 5.811 5.811
angles: 90.00 90.00 90.00
Space group Pm-3m (No. 221)
Asymmetric unit:
Na  0.000  0.000  0.000
Sr  0.000  0.500  0.500
Ni  0.500  0.500  0.500


Most stable to least stable, the ends of the list are run i and run ii.


Run i
The following is a GGA-PBEsol calculation of a relaxed NaTiPO5 crystal, from Alexandria.

* theoretical density: 3.34 g/cm³

abc: 6.617 8.520 7.087
angles: 90.00 115.05 90.00
Space group P2_1/c (No. 14)
Asymmetric unit:
Na  0.249  0.079  0.235
Ti  0.252  0.744  0.988
P  0.250  0.070  0.749
O  0.064  0.178  0.598
O  0.159  0.534  0.376
O  0.252  0.683  0.750
O  0.344  0.532  0.124
O  0.431  0.181  0.900


Run ii
The following is a GGA-PBEsol calculation of a relaxed NaTiPO5 crystal, from Alexandria.

* theoretical density: 2.89 g/cm³

abc: 12.613 6.280 10.568
angles: 90.00 90.00 90.00
Space group Pna2_1 (No. 33)
Asymmetric unit:
Na  0.101  0.244  0.000
Na  0.160  0.701  0.702
Ti  0.130  0.976  0.432
Ti  0.228  0.715  0.167
P  0.018  0.157  0.696
P  0.183  0.472  0.433
O  0.005  0.068  0.832
O  0.027  0.972  0.602
O  0.076  0.695  0.161
O  0.109  0.280  0.423
O  0.116  0.666  0.471
O  0.119  0.298  0.696
O  0.210  0.943  0.298
O  0.230  0.945  0.036
O  0.241  0.503  0.305
O  0.242  0.005  0.554


Most stable to least stable, the ends of the list are run i and run ii.


Run i
The following is a GGA-PBEsol calculation of a relaxed NaVPO5 crystal, from Alexandria.

* theoretical density: 3.53 g/cm³

abc: 6.536 8.472 6.912
angles: 90.00 114.73 90.00
Space group C2/c (No. 15)
Asymmetric unit:
Na  0.000  0.173  0.250
V  0.000  0.500  0.000
P  0.000  0.181  0.750
O  0.000  0.441  0.250
O  0.095  0.284  0.621
O  0.185  0.070  0.904


Run ii
The following is a GGA-PBEsol calculation of a relaxed NaVPO5 crystal, from Alexandria.

* theoretical density: 3.39 g/cm³

abc: 7.286 6.405 7.752
angles: 90.00 90.00 90.00
Space group Pnma (No. 62)
Asymmetric unit:
Na  0.000  0.000  0.000
V  0.168  0.250  0.286
P  0.123  0.750  0.395
O  0.061  0.250  0.507
O  0.103  0.750  0.816
O  0.135  0.557  0.275
O  0.215  0.250  0.024


Run iii
The following is a GGA-PBEsol calculation of a relaxed NaVPO5 crystal, from Alexandria.

* theoretical density: 2.96 g/cm³

abc: 6.238 6.238 10.654
angles: 90.00 90.00 90.00
Space group P4_2/ncm (No. 138, origin choice 2)
Asymmetric unit:
Na  0.000  0.000  0.000
V  0.250  0.250  0.222
P  0.250  0.750  0.250
O  0.050  0.745  0.336
O  0.250  0.250  0.372


Most stable to least stable, the ends of the list are run i and run iii.